[1]
# BeNiPbW, relaxed, DFT GGA-PBE
# Crystal system: cubic
# Raw total energy, eV per atom: -5.67
data_BeNiPbW
_chemical_formula_sum 'Be4 Ni4 Pb4 W4'
_cell_length_a 6.2152
_cell_length_b 6.2152
_cell_length_c 6.2152
_cell_angle_alpha 90.00
_cell_angle_beta 90.00
_cell_angle_gamma 90.00
_space_group_name_H-M_alt 'F -4 3 m'
_space_group_IT_number 216
_space_group_name_Hall 'F -4 2 3'
loop_
_atom_site_label
_atom_site_fract_x
_atom_site_fract_y
_atom_site_fract_z
Be1 0.0000 0.0000 0.0000
Ni1 0.0000 0.0000 0.5000
Pb1 0.2500 0.2500 0.2500
W1 0.2500 0.2500 0.7500


[2]
# Ba2GeAu, relaxed, DFT GGA-PBE
# Crystal system: cubic
# Raw total energy, eV per atom: -3.18
data_Ba2GeAu
_chemical_formula_sum 'Ba8 Ge4 Au4'
_cell_length_a 7.8364
_cell_length_b 7.8364
_cell_length_c 7.8364
_cell_angle_alpha 90.00
_cell_angle_beta 90.00
_cell_angle_gamma 90.00
_space_group_name_H-M_alt 'F -4 3 m'
_space_group_IT_number 216
_space_group_name_Hall 'F -4 2 3'
loop_
_atom_site_label
_atom_site_fract_x
_atom_site_fract_y
_atom_site_fract_z
Ba1 0.0000 0.0000 0.0000
Ba2 0.2500 0.2500 0.2500
Ge1 0.0000 0.0000 0.5000
Au1 0.2500 0.2500 0.7500


[3]
# Dy7Ni2S2, relaxed, DFT GGA-PBE
# Crystal system: orthorhombic
# Raw total energy, eV per atom: -5.53
data_Dy7Ni2S2
_chemical_formula_sum 'Dy14 Ni4 S4'
_cell_length_a 3.7565
_cell_length_b 14.9141
_cell_length_c 9.1517
_cell_angle_alpha 90.00
_cell_angle_beta 90.00
_cell_angle_gamma 90.00
_space_group_name_H-M_alt 'I m m 2'
_space_group_IT_number 44
loop_
_space_group_symop_operation_xyz
'x,y,z'
'-x,-y,z'
'-x,y,z'
'x,-y,z'
'x+1/2,y+1/2,z+1/2'
'-x+1/2,-y+1/2,z+1/2'
'-x+1/2,y+1/2,z+1/2'
'x+1/2,-y+1/2,z+1/2'
loop_
_atom_site_label
_atom_site_fract_x
_atom_site_fract_y
_atom_site_fract_z
Dy1 0.0000 0.0000 0.0000
Dy2 0.0000 0.1186 0.4018
Dy3 0.0000 0.3149 0.6073
Dy4 0.0000 0.3659 0.2463
Ni1 0.0000 0.2406 0.9110
S1 0.0000 0.0000 0.6563
S2 0.0000 0.5000 0.7458


[4]
# Nb2ReMo, relaxed, DFT GGA-PBE
# Crystal system: tetragonal
# Formation enthalpy at 0 K, eV per atom: -0.21
data_Nb2ReMo
_chemical_formula_sum 'Nb2 Re1 Mo1'
_cell_length_a 4.5516
_cell_length_b 4.5516
_cell_length_c 3.2137
_cell_angle_alpha 90.00
_cell_angle_beta 90.00
_cell_angle_gamma 90.00
_space_group_name_H-M_alt 'P 4/m m m'
_space_group_IT_number 123
_space_group_name_Hall '-P 4 2'
loop_
_atom_site_label
_atom_site_fract_x
_atom_site_fract_y
_atom_site_fract_z
Nb1 0.0000 0.5000 0.0000
Re1 0.0000 0.0000 0.5000
Mo1 0.5000 0.5000 0.5000